1.
14
Lattice="-4.1605 -1.0921 -0.6650 1.4987 -6.8574 1.8847 -2.0662 4.7906 5.0600" Properties=species:S:1:pos:R:3 comment="PBE-GGA Ir3Ru3Rh, optimized geometry" sg=P6_3/m crystal_system=hexagonal dos_at_fermi_per_ev_fu=7.280 relative_energy_ev_per_atom=0.000 m_tot_mub_per_fu=0.00 energy_ev_per_atom=-8.83 delta_e_f_ev_per_atom=-0.01 pbc="T T T"
Ir -1.2438 -0.4589 1.4131
Ru -4.2055 -0.0630 5.0494
Rh -2.8099 -3.7938 2.4444
Ir -3.4841 -2.7000 4.8666
Ir -1.8735 -0.9126 6.0983
Ru -1.1895 -2.0159 3.6308
Ir -2.0912 -6.4350 2.2852
Ru -3.5384 -1.1429 2.6488
Ir -2.6367 3.2761 3.9945
Ru -0.4772 -4.6314 3.4695
Rh -1.9180 0.6349 3.8353
Ru -4.2507 1.4726 2.8102
Ir -2.8544 -2.2463 0.1813
Ru -0.5224 -3.0959 1.2303

***

2.
12
Lattice="3.8385 0.0000 0.0000 0.0000 3.8385 0.0000 0.0000 0.0000 11.5193" Properties=species:S:1:pos:R:3 comment="PBE-GGA IrRu2Rh9, optimized geometry" sg=P4/mmm crystal_system=tetragonal dos_at_fermi_per_ev_fu=13.779 m_tot_mub_per_fu=0.00 energy_ev_per_atom=-7.77 delta_e_f_ev_per_atom=0.02 pbc="T T T"
Rh 1.9193 0.0000 5.7596
Rh 0.0000 1.9193 1.9379
Ru 0.0000 0.0000 7.6896
Ir 0.0000 0.0000 0.0000
Rh 1.9193 1.9193 3.8486
Rh 1.9193 0.0000 9.5813
Rh 0.0000 1.9193 9.5813
Ru 0.0000 0.0000 3.8296
Rh 1.9193 0.0000 1.9379
Rh 0.0000 1.9193 5.7596
Rh 1.9193 1.9193 0.0000
Rh 1.9193 1.9193 7.6707

***

3.
7
Lattice="2.6178 0.0000 0.7081 0.8557 8.5967 2.0295 0.0330 0.1734 5.0711" Properties=species:S:1:pos:R:3 comment="PBE-GGA Ir4Ru2Rh, optimized geometry" sg=C2/m crystal_system=monoclinic dos_at_fermi_per_ev_fu=7.939 relative_energy_ev_per_atom=0.000 m_tot_mub_per_fu=0.00 energy_ev_per_atom=-8.48 delta_e_f_ev_per_atom=0.28 pbc="T T T"
Ir 2.4538 6.7076 6.5079
Ru 2.0913 4.1772 2.6547
Ir 0.3750 2.4779 3.8068
Ir 1.0528 2.0625 1.3008
Ir 3.1316 6.2922 4.0019
Ru 1.4153 4.5929 5.1540
Rh 0.0000 0.0000 0.0000

***

4.
11
Lattice="4.2534 -1.1345 1.6559 -1.1799 5.4736 2.3392 2.9581 4.6073 11.1755" Properties=species:S:1:pos:R:3 comment="PBE-GGA Ir2Ru3Rh6, optimized geometry" sg=P-1 crystal_system=triclinic dos_at_fermi_per_ev_fu=12.140 m_tot_mub_per_fu=0.00 energy_ev_per_atom=-8.14 delta_e_f_ev_per_atom=0.01 pbc="T T T"
Rh 2.5433 1.7148 3.5631
Ru 0.0000 0.0000 0.0000
Rh 2.6837 2.6897 6.1184
Rh 3.3478 6.2567 9.0522
Ir 5.3363 5.3563 12.2241
Rh 0.8376 4.5745 5.4719
Ru 2.8021 3.6563 8.6273
Rh 5.1940 4.3718 9.6988
Ir 0.6952 3.5900 2.9465
Rh 3.4883 7.2315 11.6075
Ru 3.2295 5.2900 6.5433